(1)
# SrCo2Ir (PBE, optimized geometry)
data_SrCo2Ir
_cell_length_a 6.439
_cell_length_b 6.439
_cell_length_c 6.439
_cell_angle_alpha 90.00
_cell_angle_beta 90.00
_cell_angle_gamma 90.00
_space_group_name_H-M_alt 'F m -3 m'
_space_group_IT_number 225
_space_group_name_Hall '-F 4 2 3'
loop_
_atom_site_label
_atom_site_type_symbol
_atom_site_fract_x
_atom_site_fract_y
_atom_site_fract_z
Sr1 Sr 0.000 0.000 0.000
Co1 Co 0.250 0.250 0.250
Ir1 Ir 0.000 0.000 0.500
# ΔH_f (0 K) (eV/atom): 0.58
# Electronic total energy (eV per atom): -5.61
# Theoretical density (Mg/m³): 9.9

***

(2)
# U2PO (PBE, optimized geometry)
data_U2PO
_cell_length_a 3.5975
_cell_length_b 3.5975
_cell_length_c 19.5348
_cell_angle_alpha 90.00
_cell_angle_beta 90.00
_cell_angle_gamma 120.00
_space_group_name_H-M_alt 'R 3 m'
_space_group_IT_number 160
_space_group_name_Hall 'R 3 -2"'
loop_
_atom_site_label
_atom_site_type_symbol
_atom_site_fract_x
_atom_site_fract_y
_atom_site_fract_z
U1 U 0.0000 0.0000 0.0000
U2 U 0.0000 0.0000 0.1533
P1 P 0.0000 0.0000 0.5777
O1 O 0.0000 0.0000 0.4053
# Distance to the lowest polymorph of the same formula (meV/atom): 256
# Electronic total energy (eV per atom): -9.58
# Theoretical density (Mg/m³): 11.9
# Formation energy without anion corrections (meV/atom): -1345

***

(3)
# RbYCu2Ir (PBE, optimized geometry)
data_RbYCu2Ir
_cell_length_a 4.639
_cell_length_b 4.639
_cell_length_c 5.484
_cell_angle_alpha 90.00
_cell_angle_beta 90.00
_cell_angle_gamma 90.00
_space_group_name_H-M_alt 'P 4/m m m'
_space_group_IT_number 123
_space_group_name_Hall '-P 4 2'
loop_
_atom_site_label
_atom_site_type_symbol
_atom_site_fract_x
_atom_site_fract_y
_atom_site_fract_z
Rb1 Rb 0.000 0.000 0.000
Y1 Y 0.000 0.000 0.500
Cu1 Cu 0.000 0.500 0.000
Ir1 Ir 0.500 0.500 0.500
# ΔH_f (0 K) (eV/atom): 1.99
# Electronic total energy (eV per atom): -2.91
# Theoretical density (Mg/m³): 6.9

***

(4)
# Li2PrRuO4 (PBE, optimized geometry)
data_Li2PrRuO4
_cell_length_a 3.485
_cell_length_b 11.629
_cell_length_c 9.556
_cell_angle_alpha 90.00
_cell_angle_beta 90.00
_cell_angle_gamma 90.00
_space_group_name_H-M_alt 'C m c m'
_space_group_IT_number 63
_space_group_name_Hall '-C 2c 2'
loop_
_atom_site_label
_atom_site_type_symbol
_atom_site_fract_x
_atom_site_fract_y
_atom_site_fract_z
Li1 Li 0.000 0.099 0.036
Pr1 Pr 0.000 0.411 0.250
Ru1 Ru 0.000 0.323 0.750
O1 O 0.000 0.089 0.250
O2 O 0.000 0.194 0.620
O3 O 0.000 0.500 0.000
# Electronic total energy (eV per atom): -6.40
# Theoretical density (Mg/m³): 5.5
# Formation energy without anion corrections (meV/atom): -1682

***

(5)
# CoSiP (PBE, optimized geometry)
data_CoSiP
_cell_length_a 2.534
_cell_length_b 3.265
_cell_length_c 4.915
_cell_angle_alpha 90.00
_cell_angle_beta 95.85
_cell_angle_gamma 90.00
_space_group_name_H-M_alt 'P 1 m 1'
_space_group_IT_number 6
loop_
_space_group_symop_operation_xyz
'x,y,z'
'x,-y,z'
loop_
_atom_site_label
_atom_site_type_symbol
_atom_site_fract_x
_atom_site_fract_y
_atom_site_fract_z
Co1 Co 0.000 0.000 0.000
Si1 Si 0.574 0.500 0.243
P1 P 0.677 0.500 0.717
# Electronic total energy (eV per atom): -6.14
# Theoretical density (Mg/m³): 4.8
# Formation energy without anion corrections (meV/atom): -158

***

(6)
# Rb2AcBr4 (PBE, optimized geometry)
data_Rb2AcBr4
_cell_length_a 6.171
_cell_length_b 6.171
_cell_length_c 17.747
_cell_angle_alpha 90.00
_cell_angle_beta 90.00
_cell_angle_gamma 90.00
_space_group_name_H-M_alt 'I 4/m m m'
_space_group_IT_number 139
_space_group_name_Hall '-I 4 2'
loop_
_atom_site_label
_atom_site_type_symbol
_atom_site_fract_x
_atom_site_fract_y
_atom_site_fract_z
Rb1 Rb 0.000 0.000 0.137
Ac1 Ac 0.000 0.000 0.500
Br1 Br 0.000 0.000 0.330
Br2 Br 0.000 0.500 0.000
# Electronic total energy (eV per atom): -3.44
# Theoretical density (Mg/m³): 3.5
# Formation energy without anion corrections (meV/atom): -1622

***

(7)
# Mg3BeTe (PBE, optimized geometry)
data_Mg3BeTe
_cell_length_a 4.847
_cell_length_b 4.847
_cell_length_c 4.847
_cell_angle_alpha 90.00
_cell_angle_beta 90.00
_cell_angle_gamma 90.00
_space_group_name_H-M_alt 'P m -3 m'
_space_group_IT_number 221
_space_group_name_Hall '-P 4 2 3'
loop_
_atom_site_label
_atom_site_type_symbol
_atom_site_fract_x
_atom_site_fract_y
_atom_site_fract_z
Mg1 Mg 0.000 0.000 0.500
Be1 Be 0.000 0.000 0.000
Te1 Te 0.500 0.500 0.500
# Distance to the lowest polymorph of the same formula (meV/atom): 0
# Electronic total energy (eV per atom): -2.22
# Theoretical density (Mg/m³): 3.1
# Formation energy without anion corrections (meV/atom): 113

***

(8)
# CeGd2In (PBE, optimized geometry)
data_CeGd2In
_cell_length_a 4.938
_cell_length_b 4.938
_cell_length_c 4.774
_cell_angle_alpha 90.00
_cell_angle_beta 90.00
_cell_angle_gamma 90.00
_space_group_name_H-M_alt 'P 4/m m m'
_space_group_IT_number 123
_space_group_name_Hall '-P 4 2'
loop_
_atom_site_label
_atom_site_type_symbol
_atom_site_fract_x
_atom_site_fract_y
_atom_site_fract_z
Ce1 Ce 0.000 0.000 0.000
Gd1 Gd 0.000 0.500 0.500
In1 In 0.500 0.500 0.000
# Distance to the lowest polymorph of the same formula (meV/atom): 0
# ΔH_f (0 K) (eV/atom): -0.24
# Electronic total energy (eV per atom): -9.44
# Theoretical density (Mg/m³): 8.1